Entry 1:
The following is a DFT calculation (PBE-GGA) of a relaxed PrSm2Ho5 crystal. Values from VASP.

The calculated density is 8.145 g cm⁻³. As for the space-group type: Pbam, No. 55. For the total energy, the calculation gives -4.62 eV per atom. The density of states at the Fermi level is 20.5 states/eV per cell.

```
&SYSTEM
  ibrav = 0, nat = 16, ntyp = 3
/
ATOMIC_SPECIES
Pr 140.91 Pr.upf
Sm 150.36 Sm.upf
Ho 164.93 Ho.upf
CELL_PARAMETERS angstrom
7.1516 0.0000 0.0000
0.0000 14.3106 0.0000
0.0000 0.0000 5.0447
ATOMIC_POSITIONS crystal
Pr 0.0000 0.0000 0.0000
Pr 0.5000 0.5000 0.0000
Sm 0.2476 0.3739 0.5000
Sm 0.2524 0.8739 0.5000
Sm 0.7476 0.1261 0.5000
Sm 0.7524 0.6261 0.5000
Ho 0.0000 0.5000 0.0000
Ho 0.0020 0.7487 0.0000
Ho 0.2491 0.1259 0.5000
Ho 0.2509 0.6259 0.5000
Ho 0.4980 0.2487 0.0000
Ho 0.5000 0.0000 0.0000
Ho 0.5020 0.7513 0.0000
Ho 0.7491 0.3741 0.5000
Ho 0.7509 0.8741 0.5000
Ho 0.9980 0.2513 0.0000
```

=====

Entry 2:
The following is a DFT calculation (PBE-GGA) of a relaxed Pr8SmHo6 crystal. Values from VASP.

The calculated density is 7.299 g cm⁻³. As for the space-group type: R-3, No. 148. For the total energy, the calculation gives -4.54 eV per atom. The density of states at the Fermi level is 21.8 states/eV per cell.

```
&SYSTEM
  ibrav = 0, nat = 15, ntyp = 3
/
ATOMIC_SPECIES
Pr 140.91 Pr.upf
Sm 150.36 Sm.upf
Ho 164.93 Ho.upf
CELL_PARAMETERS angstrom
4.6813 2.7027 6.7942
-4.6813 2.7027 6.7942
0.0000 -5.4055 6.7942
ATOMIC_POSITIONS crystal
Pr 0.0739 0.0739 0.0739
Pr 0.1632 0.2729 0.5848
Pr 0.2729 0.5848 0.1632
Pr 0.4152 0.8368 0.7271
Pr 0.5848 0.1632 0.2729
Pr 0.7271 0.4152 0.8368
Pr 0.8368 0.7271 0.4152
Pr 0.9261 0.9261 0.9261
Sm 0.5000 0.5000 0.5000
Ho 0.0546 0.6075 0.7608
Ho 0.2392 0.9454 0.3925
Ho 0.3925 0.2392 0.9454
Ho 0.6075 0.7608 0.0546
Ho 0.7608 0.0546 0.6075
Ho 0.9454 0.3925 0.2392
```

=====

Entry 3:
The following is a DFT calculation (PBE-GGA) of a relaxed PrSm2Ho12 crystal. Values from VASP.

The calculated density is 8.352 g cm⁻³. As for the space-group type: P2/m, No. 10. For the total energy, the calculation gives -4.50 eV per atom. The density of states at the Fermi level is 22.1 states/eV per cell.

```
&SYSTEM
  ibrav = 0, nat = 15, ntyp = 3
/
ATOMIC_SPECIES
Pr 140.91 Pr.upf
Sm 150.36 Sm.upf
Ho 164.93 Ho.upf
CELL_PARAMETERS angstrom
3.5427 0.0000 0.0000
0.0000 5.5832 0.0000
-1.7600 0.0000 24.3340
ATOMIC_POSITIONS crystal
Pr 0.0000 0.0000 0.0000
Sm 0.3637 0.0000 0.7266
Sm 0.6363 0.0000 0.2734
Ho 0.0685 0.0000 0.1378
Ho 0.1005 0.5000 0.2021
Ho 0.1657 0.5000 0.3317
Ho 0.2157 0.0000 0.4281
Ho 0.2757 0.5000 0.5546
Ho 0.4627 0.5000 0.9245
Ho 0.5373 0.5000 0.0755
Ho 0.7243 0.5000 0.4454
Ho 0.7843 0.0000 0.5719
Ho 0.8343 0.5000 0.6683
Ho 0.8995 0.5000 0.7979
Ho 0.9315 0.0000 0.8622
```

=====

Which of these has the lowest calculated density?
Pr8SmHo6